## Dy2Ho3Pb4 (GGA-PBE)

Data for a geometry-optimized Dy2Ho3Pb4 structure. Values from VASP.

Properties
Size of the total moment, μB/atom: 0.00
Calculated formation energy, eV per atom: -0.416

```
&SYSTEM
  ibrav = 0, nat = 9, ntyp = 3
/
ATOMIC_SPECIES
Pb 207.20 Pb.upf
Ho 164.93 Ho.upf
Dy 162.50 Dy.upf
CELL_PARAMETERS angstrom
-3.182 -0.993 -3.626
2.379 -6.345 -0.350
-4.518 0.172 7.264
ATOMIC_POSITIONS crystal
Pb 0.509 0.282 0.019
Ho 0.000 0.000 0.000
Pb 0.751 0.686 0.502
Dy 0.331 0.931 0.661
Ho 0.113 0.586 0.225
Pb 0.249 0.314 0.498
Ho 0.887 0.414 0.775
Dy 0.669 0.069 0.339
Pb 0.491 0.718 0.981
```